Record 1
Here is crystalline Li3Mg12Zr at its relaxed geometry from the Alexandria database. Energies are from PBE-GGA.

Cell: 4.423 4.423 18.009 Å, 90.00 90.00 90.00°
Sites, in units of the cell vectors:
Li (0.000, 0.000, 0.000)
Li (0.000, 0.000, 0.251)
Li (0.000, 0.000, 0.749)
Mg (0.000, 0.500, 0.124)
Mg (0.000, 0.500, 0.375)
Mg (0.000, 0.500, 0.625)
Mg (0.000, 0.500, 0.876)
Mg (0.500, 0.000, 0.124)
Mg (0.500, 0.000, 0.375)
Mg (0.500, 0.000, 0.625)
Mg (0.500, 0.000, 0.876)
Mg (0.500, 0.500, 0.000)
Mg (0.500, 0.500, 0.246)
Mg (0.500, 0.500, 0.500)
Mg (0.500, 0.500, 0.754)
Zr (0.000, 0.000, 0.500)

DFT total energy   -2.093 eV per atom


Record 2
Here is crystalline Li2MgZr at its relaxed geometry from the Alexandria database. Energies are from PBE-GGA.

Cell: 10.828 10.828 10.828 Å, 15.96 15.96 15.96°
Sites, in units of the cell vectors:
Li (0.248, 0.248, 0.248)
Li (0.752, 0.752, 0.752)
Mg (0.500, 0.500, 0.500)
Zr (0.000, 0.000, 0.000)

DFT total energy   -3.399 eV per atom


Record 3
Here is crystalline LiMg6Zr at its relaxed geometry from the Alexandria database. Energies are from PBE-GGA.

Cell: 5.051 6.398 6.398 Å, 59.60 90.00 90.00°
Sites, in units of the cell vectors:
Li (0.000, 0.000, 0.000)
Mg (0.000, 0.003, 0.492)
Mg (0.000, 0.492, 0.003)
Mg (0.000, 0.500, 0.500)
Mg (0.500, 0.158, 0.672)
Mg (0.500, 0.670, 0.670)
Mg (0.500, 0.672, 0.158)
Zr (0.500, 0.166, 0.166)

Energy relative to the lowest polymorph listed for this composition   0.055 eV/atom
DFT total energy   -2.432 eV per atom


Record 4
Here is crystalline Li2MgZr at its relaxed geometry from the Alexandria database. Energies are from PBE-GGA.

Cell: 2.837 4.801 6.183 Å, 90.00 101.96 90.00°
Sites, in units of the cell vectors:
Li (0.000, 0.000, 0.000)
Li (0.135, 0.500, 0.246)
Mg (0.757, 0.000, 0.488)
Zr (0.381, 0.500, 0.746)

DFT total energy   -3.336 eV per atom


Record 5
Here is crystalline Li2MgZr at its relaxed geometry from the Alexandria database. Energies are from PBE-GGA.

Cell: 2.963 2.963 10.627 Å, 90.00 90.00 114.30°
Sites, in units of the cell vectors:
Li (0.000, 0.000, 0.000)
Li (0.500, 0.500, 0.246)
Mg (0.000, 0.000, 0.487)
Zr (0.500, 0.500, 0.743)

DFT total energy   -3.407 eV per atom


Record 6
Here is crystalline LiMg2Zr2 at its relaxed geometry from the Alexandria database. Energies are from PBE-GGA.

Cell: 8.291 8.291 8.291 Å, 151.97 151.97 40.05°
Sites, in units of the cell vectors:
Li (0.000, 0.000, 0.000)
Mg (0.407, 0.407, 0.000)
Mg (0.593, 0.593, 0.000)
Zr (0.250, 0.750, 0.500)
Zr (0.750, 0.250, 0.500)

Energy relative to the lowest polymorph listed for this composition   0.068 eV/atom
DFT total energy   -4.058 eV per atom


Record 7
Here is crystalline LiMg6Zr at its relaxed geometry from the Alexandria database. Energies are from PBE-GGA.

Cell: 6.431 6.431 4.282 Å, 90.00 90.00 90.06°
Sites, in units of the cell vectors:
Li (0.000, 0.000, 0.000)
Mg (0.000, 0.500, 0.000)
Mg (0.250, 0.250, 0.500)
Mg (0.250, 0.750, 0.500)
Mg (0.500, 0.000, 0.000)
Mg (0.750, 0.250, 0.500)
Mg (0.750, 0.750, 0.500)
Zr (0.500, 0.500, 0.000)

Energy relative to the lowest polymorph listed for this composition   0.000 eV/atom
DFT total energy   -2.486 eV per atom


Record 8
Here is crystalline LiMgZr4 at its relaxed geometry from the Alexandria database. Energies are from PBE-GGA.

Cell: 5.877 5.877 5.877 Å, 60.00 60.00 60.00°
Sites, in units of the cell vectors:
Li (0.000, 0.000, 0.000)
Mg (0.750, 0.750, 0.750)
Zr (0.376, 0.376, 0.376)
Zr (0.376, 0.376, 0.873)
Zr (0.376, 0.873, 0.376)
Zr (0.873, 0.376, 0.376)

DFT total energy   -5.895 eV per atom


Record 9
Here is crystalline LiMg2Zr2 at its relaxed geometry from the Alexandria database. Energies are from PBE-GGA.

Cell: 8.881 8.881 3.081 Å, 90.00 90.00 90.00°
Sites, in units of the cell vectors:
Li (0.000, 0.000, 0.000)
Li (0.500, 0.500, 0.000)
Mg (0.175, 0.325, 0.000)
Mg (0.325, 0.825, 0.000)
Mg (0.675, 0.175, 0.000)
Mg (0.825, 0.675, 0.000)
Zr (0.119, 0.619, 0.500)
Zr (0.381, 0.119, 0.500)
Zr (0.619, 0.881, 0.500)
Zr (0.881, 0.381, 0.500)

Energy relative to the lowest polymorph listed for this composition   0.000 eV/atom
DFT total energy   -4.125 eV per atom


Record 10
Here is crystalline LiMg14Zr at its relaxed geometry from the Alexandria database. Energies are from PBE-GGA.

Cell: 10.174 6.387 6.387 Å, 60.53 90.00 90.00°
Sites, in units of the cell vectors:
Li (0.000, 0.000, 0.000)
Mg (0.000, 0.001, 0.484)
Mg (0.000, 0.484, 0.001)
Mg (0.236, 0.831, 0.831)
Mg (0.244, 0.328, 0.826)
Mg (0.244, 0.826, 0.328)
Mg (0.247, 0.332, 0.332)
Mg (0.500, 0.497, 0.497)
Mg (0.500, 0.499, 0.995)
Mg (0.500, 0.995, 0.499)
Mg (0.500, 0.996, 0.996)
Mg (0.753, 0.332, 0.332)
Mg (0.756, 0.328, 0.826)
Mg (0.756, 0.826, 0.328)
Mg (0.764, 0.831, 0.831)
Zr (0.000, 0.496, 0.496)

Energy relative to the lowest polymorph listed for this composition   0.021 eV/atom
DFT total energy   -2.028 eV per atom


Record 11
Here is crystalline LiMn at its relaxed geometry from the Alexandria database. Energies are from PBE-GGA.

Cell: 7.088 7.088 7.088 Å, 91.83 91.83 159.41°
Sites, in units of the cell vectors:
Li (0.120, 0.176, 0.296)
Li (0.176, 0.880, 0.055)
Li (0.824, 0.120, 0.945)
Li (0.880, 0.824, 0.704)
Mn (0.072, 0.631, 0.703)
Mn (0.369, 0.072, 0.440)
Mn (0.631, 0.928, 0.560)
Mn (0.928, 0.369, 0.297)

DFT total energy   -5.095 eV per atom


Record 12
Here is crystalline LiMn at its relaxed geometry from the Alexandria database. Energies are from PBE-GGA.

Cell: 8.851 8.851 2.240 Å, 90.00 90.00 120.00°
Sites, in units of the cell vectors:
Li (0.069, 0.302, 0.250)
Li (0.233, 0.931, 0.250)
Li (0.302, 0.233, 0.750)
Li (0.698, 0.767, 0.250)
Li (0.767, 0.069, 0.750)
Li (0.931, 0.698, 0.750)
Mn (0.157, 0.612, 0.250)
Mn (0.388, 0.545, 0.250)
Mn (0.455, 0.843, 0.250)
Mn (0.545, 0.157, 0.750)
Mn (0.612, 0.455, 0.750)
Mn (0.843, 0.388, 0.750)

DFT total energy   -5.060 eV per atom


Record 13
Here is crystalline LiMn at its relaxed geometry from the Alexandria database. Energies are from PBE-GGA.

Cell: 9.146 9.146 9.146 Å, 15.92 15.92 15.92°
Sites, in units of the cell vectors:
Li (0.118, 0.118, 0.118)
Li (0.882, 0.882, 0.882)
Mn (0.367, 0.367, 0.367)
Mn (0.633, 0.633, 0.633)

DFT total energy   -5.312 eV per atom


Record 14
Here is crystalline Li5Mn at its relaxed geometry from the Alexandria database. Energies are from PBE-GGA.

Cell: 2.862 2.862 13.216 Å, 90.00 90.00 90.00°
Sites, in units of the cell vectors:
Li (0.000, 0.000, 0.000)
Li (0.000, 0.000, 0.347)
Li (0.000, 0.000, 0.653)
Li (0.500, 0.500, 0.174)
Li (0.500, 0.500, 0.826)
Mn (0.500, 0.500, 0.500)

DFT total energy   -2.947 eV per atom


Record 15
Here is crystalline LiMn at its relaxed geometry from the Alexandria database. Energies are from PBE-GGA.

Cell: 5.153 5.153 4.082 Å, 90.00 90.00 127.98°
Sites, in units of the cell vectors:
Li (0.000, 0.000, 0.000)
Li (0.167, 0.833, 0.500)
Li (0.833, 0.167, 0.500)
Mn (0.351, 0.649, 0.000)
Mn (0.500, 0.500, 0.500)
Mn (0.649, 0.351, 0.000)

DFT total energy   -5.164 eV per atom


Record 16
Here is crystalline Li6Mn7 at its relaxed geometry from the Alexandria database. Energies are from PBE-GGA.

Cell: 9.565 9.565 9.565 Å, 27.78 27.78 27.78°
Sites, in units of the cell vectors:
Li (0.047, 0.047, 0.047)
Li (0.150, 0.150, 0.150)
Li (0.333, 0.333, 0.333)
Li (0.667, 0.667, 0.667)
Li (0.850, 0.850, 0.850)
Li (0.953, 0.953, 0.953)
Mn (0.091, 0.590, 0.590)
Mn (0.410, 0.410, 0.909)
Mn (0.410, 0.909, 0.410)
Mn (0.500, 0.500, 0.500)
Mn (0.590, 0.091, 0.590)
Mn (0.590, 0.590, 0.091)
Mn (0.909, 0.410, 0.410)

DFT total energy   -5.452 eV per atom


Record 17
Here is crystalline LiMn at its relaxed geometry from the Alexandria database. Energies are from PBE-GGA.

Cell: 7.223 7.223 7.223 Å, 109.47 109.47 109.47°
Sites, in units of the cell vectors:
Li (0.000, 0.000, 0.598)
Li (0.000, 0.598, 0.000)
Li (0.402, 0.402, 0.402)
Li (0.598, 0.000, 0.000)
Mn (0.000, 0.000, 0.216)
Mn (0.000, 0.216, 0.000)
Mn (0.216, 0.000, 0.000)
Mn (0.784, 0.784, 0.784)

DFT total energy   -4.448 eV per atom


Record 18
Here is crystalline LiMn at its relaxed geometry from the Alexandria database. Energies are from PBE-GGA.

Cell: 2.686 2.686 4.277 Å, 90.00 90.00 90.00°
Sites, in units of the cell vectors:
Li (0.000, 0.000, 0.000)
Mn (0.500, 0.500, 0.500)

DFT total energy   -5.065 eV per atom


Record 19
Here is crystalline LiMn at its relaxed geometry from the Alexandria database. Energies are from PBE-GGA.

Cell: 4.936 4.936 7.505 Å, 90.00 90.00 90.00°
Sites, in units of the cell vectors:
Li (0.060, 0.326, 0.101)
Li (0.174, 0.560, 0.851)
Li (0.326, 0.060, 0.899)
Li (0.440, 0.826, 0.649)
Li (0.560, 0.174, 0.149)
Li (0.674, 0.940, 0.399)
Li (0.826, 0.440, 0.351)
Li (0.940, 0.674, 0.601)
Mn (0.005, 0.165, 0.631)
Mn (0.165, 0.005, 0.369)
Mn (0.335, 0.505, 0.381)
Mn (0.495, 0.665, 0.119)
Mn (0.505, 0.335, 0.619)
Mn (0.665, 0.495, 0.881)
Mn (0.835, 0.995, 0.869)
Mn (0.995, 0.835, 0.131)

DFT total energy   -5.120 eV per atom


Record 20
Here is crystalline LiMn5 at its relaxed geometry from the Alexandria database. Energies are from PBE-GGA.

Cell: 4.574 4.574 4.054 Å, 90.00 90.00 120.00°
Sites, in units of the cell vectors:
Li (0.000, 0.000, 0.000)
Mn (0.000, 0.500, 0.500)
Mn (0.333, 0.667, 0.000)
Mn (0.500, 0.000, 0.500)
Mn (0.500, 0.500, 0.500)
Mn (0.667, 0.333, 0.000)

Energy relative to the lowest polymorph listed for this composition   0.207 eV/atom
DFT total energy   -7.532 eV per atom


Record 21
Here is crystalline Li3Mn2 at its relaxed geometry from the Alexandria database. Energies are from PBE-GGA.

Cell: 12.027 12.027 12.027 Å, 12.98 12.98 12.98°
Sites, in units of the cell vectors:
Li (0.000, 0.000, 0.000)
Li (0.203, 0.203, 0.203)
Li (0.797, 0.797, 0.797)
Mn (0.399, 0.399, 0.399)
Mn (0.601, 0.601, 0.601)

DFT total energy   -4.500 eV per atom


Record 22
Here is crystalline LiMn at its relaxed geometry from the Alexandria database. Energies are from PBE-GGA.

Cell: 2.438 2.438 9.002 Å, 90.00 90.00 112.34°
Sites, in units of the cell vectors:
Li (0.250, 0.750, 0.854)
Li (0.750, 0.250, 0.146)
Mn (0.250, 0.750, 0.394)
Mn (0.750, 0.250, 0.606)

DFT total energy   -5.275 eV per atom


Record 23
Here is crystalline Li7Mn at its relaxed geometry from the Alexandria database. Energies are from PBE-GGA.

Cell: 5.927 5.927 5.927 Å, 60.00 60.00 60.00°
Sites, in units of the cell vectors:
Li (0.000, 0.000, 0.000)
Li (0.000, 0.000, 0.500)
Li (0.000, 0.500, 0.000)
Li (0.000, 0.500, 0.500)
Li (0.500, 0.000, 0.000)
Li (0.500, 0.000, 0.500)
Li (0.500, 0.500, 0.000)
Mn (0.500, 0.500, 0.500)

DFT total energy   -2.661 eV per atom